The following is a DFT calculation (GGA-PBE) of a geometry-optimized BaBr2O7 structure.

Results
Symmetry = No. 15
E_tot = -86.86 eV per cell

```
BaBr2O7
1.0
3.9907 6.3777 -0.0453
-3.9907 6.3777 -0.0453
0.0000 5.7264 6.8117
Ba Br O
2 4 14
direct
0.6390 0.3610 0.7500 Ba
0.3610 0.6390 0.2500 Ba
0.2031 0.1801 0.8141 Br
0.1801 0.2031 0.3141 Br
0.7969 0.8199 0.1859 Br
0.8199 0.7969 0.6859 Br
0.2799 0.0999 0.9918 O
0.0999 0.2799 0.4918 O
0.7201 0.9001 0.0082 O
0.9001 0.7201 0.5082 O
0.9326 0.2648 0.9054 O
0.2648 0.9326 0.4054 O
0.0674 0.7352 0.0946 O
0.7352 0.0674 0.5946 O
0.3000 0.4099 0.6498 O
0.4099 0.3000 0.1498 O
0.7000 0.5901 0.3502 O
0.5901 0.7000 0.8502 O
0.2698 0.7302 0.7500 O
0.7302 0.2698 0.2500 O
```